A plane-wave DFT calculation with GGA-PBEsol was carried out for a geometry-optimized KCrCl structure.

Results
ΔE to the lowest computed polymorph: 0 meV per atom
DOS at the Fermi energy: 0.482 states/eV per atom
size of the total moment: 4.7 μB per formula unit
formation energy (no corrections): 0.09 eV/atom
crystal system: hexagonal

abc: 4.4066 4.4066 5.1686
angles: 90.00 90.00 120.00
Space group P-6m2 (No. 187)
One atom of each set of equivalent atoms:
K (0.0000, 0.0000, 0.0000) [1 per cell]
Cr (0.6667, 0.3333, 0.5000) [1 per cell]
Cl (0.3333, 0.6667, 0.5000) [1 per cell]